This record from Alexandria via LeMat-Bulk describes Tl2GePdO4 after structural relaxation. The functional is GGA-PBE.

a = 11.6395 Å, b = 10.2414 Å, c = 6.9014 Å
α = 83.08°, β = 60.86°, γ = 36.06°
Positions (direct):
Tl 0.0486 0.0486 0.7014
Tl 0.2986 0.2986 0.9514
Tl 0.7014 0.7014 0.0486
Tl 0.9514 0.9514 0.2986
Ge 0.3750 0.3750 0.3750
Ge 0.6250 0.6250 0.6250
Pd 0.1250 0.1250 0.1250
Pd 0.8750 0.8750 0.8750
O 0.0392 0.6927 0.5095
O 0.2586 0.5095 0.6927
O 0.3073 0.9608 0.7414
O 0.4905 0.7414 0.9608
O 0.5095 0.2586 0.0392
O 0.6927 0.0392 0.2586
O 0.7414 0.4905 0.3073
O 0.9608 0.3073 0.4905

Values from the calculation:
* calculated density: 6.04 g/cm3
* space-group type: Fddd, No. 70
* ΔE_f (raw): -0.82 eV per atom
* uncorrected energy: -5.117 eV/atom

This record from Alexandria via LeMat-Bulk describes Y2GePdO after structural relaxation. The functional is GGA-PBE.

a = 5.4859 Å, b = 5.4859 Å, c = 3.8936 Å
α = 90.00°, β = 90.00°, γ = 90.00°
Positions (direct):
Y 0.0000 0.5000 0.0000
Y 0.5000 0.0000 0.0000
Ge 0.0000 0.0000 0.0000
Pd 0.5000 0.5000 0.5000
O 0.0000 0.0000 0.5000

Values from the calculation:
* calculated density: 5.28 g/cm3
* space-group type: P4/mmm, No. 123
* ΔE_f (raw): -0.29 eV per atom
* uncorrected energy: -5.827 eV/atom

This record from Alexandria via LeMat-Bulk describes Pm2GeO after structural relaxation. The functional is GGA-PBE.

a = 3.8622 Å, b = 3.8622 Å, c = 19.6380 Å
α = 90.00°, β = 90.00°, γ = 120.00°
Positions (direct):
Pm 0.0000 0.0000 0.2375
Pm 0.0000 0.0000 0.7625
Pm 0.3333 0.6667 0.4291
Pm 0.3333 0.6667 0.9042
Pm 0.6667 0.3333 0.0958
Pm 0.6667 0.3333 0.5709
Ge 0.0000 0.0000 0.0000
Ge 0.3333 0.6667 0.6667
Ge 0.6667 0.3333 0.3333
O 0.0000 0.0000 0.5000
O 0.3333 0.6667 0.1667
O 0.6667 0.3333 0.8333

Values from the calculation:
* calculated density: 7.44 g/cm3
* space-group type: R-3m, No. 166
* ΔE_f (raw): -1.65 eV per atom
* uncorrected energy: -6.417 eV/atom

This record from Alexandria via LeMat-Bulk describes Pm12Ge5O3 after structural relaxation. The functional is GGA-PBE.

a = 14.3371 Å, b = 14.3371 Å, c = 14.3371 Å
α = 109.47°, β = 109.47°, γ = 109.47°
Positions (direct):
Pm 0.0473 0.6180 0.3808
Pm 0.0473 0.9294 0.6665
Pm 0.0706 0.2371 0.1180
Pm 0.0706 0.3335 0.9527
Pm 0.1180 0.0706 0.2371
Pm 0.1180 0.5473 0.8808
Pm 0.1192 0.7371 0.6665
Pm 0.1192 0.8820 0.4527
Pm 0.1665 0.2371 0.6192
Pm 0.1665 0.4294 0.5473
Pm 0.2371 0.1180 0.0706
Pm 0.2371 0.6192 0.1665
Pm 0.2629 0.3335 0.8808
Pm 0.2629 0.4294 0.3820
Pm 0.3335 0.8808 0.2629
Pm 0.3335 0.9527 0.0706
Pm 0.3808 0.0473 0.6180
Pm 0.3808 0.8335 0.7629
Pm 0.3820 0.2629 0.4294
Pm 0.3820 0.6192 0.9527
Pm 0.4294 0.3820 0.2629
Pm 0.4294 0.5473 0.1665
Pm 0.4527 0.1192 0.8820
Pm 0.4527 0.8335 0.5706
Pm 0.5473 0.1665 0.4294
Pm 0.5473 0.8808 0.1180
Pm 0.5706 0.4527 0.8335
Pm 0.5706 0.6180 0.7371
Pm 0.6180 0.3808 0.0473
Pm 0.6180 0.7371 0.5706
Pm 0.6192 0.1665 0.2371
Pm 0.6192 0.9527 0.3820
Pm 0.6665 0.0473 0.9294
Pm 0.6665 0.1192 0.7371
Pm 0.7371 0.5706 0.6180
Pm 0.7371 0.6665 0.1192
Pm 0.7629 0.3808 0.8335
Pm 0.7629 0.8820 0.9294
Pm 0.8335 0.5706 0.4527
Pm 0.8335 0.7629 0.3808
Pm 0.8808 0.1180 0.5473
Pm 0.8808 0.2629 0.3335
Pm 0.8820 0.4527 0.1192
Pm 0.8820 0.9294 0.7629
Pm 0.9294 0.6665 0.0473
Pm 0.9294 0.7629 0.8820
Pm 0.9527 0.0706 0.3335
Pm 0.9527 0.3820 0.6192
Ge 0.0000 0.0000 0.0000
Ge 0.0000 0.0000 0.5000
Ge 0.0000 0.5000 0.0000
Ge 0.0000 0.5000 0.5000
Ge 0.1250 0.7500 0.8750
Ge 0.1250 0.8750 0.2500
Ge 0.2500 0.1250 0.8750
Ge 0.2500 0.6250 0.3750
Ge 0.3750 0.2500 0.6250
Ge 0.3750 0.6250 0.7500
Ge 0.5000 0.0000 0.0000
Ge 0.5000 0.0000 0.5000
Ge 0.5000 0.5000 0.0000
Ge 0.5000 0.5000 0.5000
Ge 0.6250 0.3750 0.2500
Ge 0.6250 0.7500 0.3750
Ge 0.7500 0.3750 0.6250
Ge 0.7500 0.8750 0.1250
Ge 0.8750 0.1250 0.7500
Ge 0.8750 0.2500 0.1250
O 0.1250 0.2500 0.3750
O 0.1250 0.3750 0.7500
O 0.2500 0.3750 0.1250
O 0.2500 0.8750 0.6250
O 0.3750 0.1250 0.2500
O 0.3750 0.7500 0.1250
O 0.6250 0.2500 0.8750
O 0.6250 0.8750 0.7500
O 0.7500 0.1250 0.3750
O 0.7500 0.6250 0.8750
O 0.8750 0.6250 0.2500
O 0.8750 0.7500 0.6250

Values from the calculation:
* calculated density: 6.30 g/cm3
* space-group type: Ia-3d, No. 230
* ΔE_f (raw): -0.42 eV per atom
* uncorrected energy: -5.173 eV/atom

This record from Alexandria via LeMat-Bulk describes Pm2Ge2O7 after structural relaxation. The functional is GGA-PBE.

a = 5.9699 Å, b = 5.9699 Å, c = 5.0334 Å
α = 97.21°, β = 97.21°, γ = 105.18°
Positions (direct):
Pm 0.1955 0.8045 0.0000
Pm 0.8045 0.1955 0.0000
Ge 0.2754 0.2754 0.5897
Ge 0.7246 0.7246 0.4103
O 0.1069 0.4145 0.7839
O 0.1088 0.1088 0.2798
O 0.4145 0.1069 0.7839
O 0.5000 0.5000 0.5000
O 0.5855 0.8931 0.2161
O 0.8912 0.8912 0.7202
O 0.8931 0.5855 0.2161

Values from the calculation:
* calculated density: 5.36 g/cm3
* space-group type: C2/m, No. 12
* ΔE_f (raw): -2.55 eV per atom
* uncorrected energy: -7.406 eV/atom

This record from Alexandria via LeMat-Bulk describes PmGe2O4 after structural relaxation. The functional is GGA-PBE.

a = 7.3344 Å, b = 7.3344 Å, c = 5.9163 Å
α = 90.00°, β = 90.00°, γ = 90.00°
Positions (direct):
Pm 0.0000 0.0000 0.0000
Pm 0.5000 0.5000 0.5000
Ge 0.0000 0.5000 0.2500
Ge 0.0000 0.5000 0.7500
Ge 0.5000 0.0000 0.2500
Ge 0.5000 0.0000 0.7500
O 0.0000 0.3184 0.0000
O 0.0000 0.6816 0.0000
O 0.1816 0.5000 0.5000
O 0.3184 0.0000 0.0000
O 0.5000 0.1816 0.5000
O 0.5000 0.8184 0.5000
O 0.6816 0.0000 0.0000
O 0.8184 0.5000 0.5000

Values from the calculation:
* calculated density: 3.70 g/cm3
* space-group type: I4/mmm, No. 139
* ΔE_f (raw): -1.39 eV per atom
* uncorrected energy: -6.225 eV/atom

This record from Alexandria via LeMat-Bulk describes Pm3Ge5O12 after structural relaxation. The functional is GGA-PBE.

a = 11.2646 Å, b = 11.2646 Å, c = 11.2646 Å
α = 109.47°, β = 109.47°, γ = 109.47°
Positions (direct):
Pm 0.1250 0.2500 0.3750
Pm 0.1250 0.3750 0.7500
Pm 0.2500 0.3750 0.1250
Pm 0.2500 0.8750 0.6250
Pm 0.3750 0.1250 0.2500
Pm 0.3750 0.7500 0.1250
Pm 0.6250 0.2500 0.8750
Pm 0.6250 0.8750 0.7500
Pm 0.7500 0.1250 0.3750
Pm 0.7500 0.6250 0.8750
Pm 0.8750 0.6250 0.2500
Pm 0.8750 0.7500 0.6250
Ge 0.0000 0.0000 0.0000
Ge 0.0000 0.0000 0.5000
Ge 0.0000 0.5000 0.0000
Ge 0.0000 0.5000 0.5000
Ge 0.1250 0.7500 0.8750
Ge 0.1250 0.8750 0.2500
Ge 0.2500 0.1250 0.8750
Ge 0.2500 0.6250 0.3750
Ge 0.3750 0.2500 0.6250
Ge 0.3750 0.6250 0.7500
Ge 0.5000 0.0000 0.0000
Ge 0.5000 0.0000 0.5000
Ge 0.5000 0.5000 0.0000
Ge 0.5000 0.5000 0.5000
Ge 0.6250 0.3750 0.2500
Ge 0.6250 0.7500 0.3750
Ge 0.7500 0.3750 0.6250
Ge 0.7500 0.8750 0.1250
Ge 0.8750 0.1250 0.7500
Ge 0.8750 0.2500 0.1250
O 0.0264 0.2248 0.1293
O 0.0264 0.3016 0.8971
O 0.0955 0.7248 0.6984
O 0.0955 0.8707 0.3971
O 0.1029 0.6293 0.4045
O 0.1029 0.9736 0.6984
O 0.1293 0.0264 0.2248
O 0.1293 0.6029 0.9045
O 0.1984 0.2248 0.5955
O 0.1984 0.4736 0.6029
O 0.2248 0.1293 0.0264
O 0.2248 0.5955 0.1984
O 0.2752 0.3016 0.9045
O 0.2752 0.4736 0.3707
O 0.3016 0.8971 0.0264
O 0.3016 0.9045 0.2752
O 0.3707 0.2752 0.4736
O 0.3707 0.5955 0.8971
O 0.3971 0.0955 0.8707
O 0.3971 0.8016 0.5264
O 0.4045 0.1029 0.6293
O 0.4045 0.8016 0.7752
O 0.4736 0.3707 0.2752
O 0.4736 0.6029 0.1984
O 0.5264 0.3971 0.8016
O 0.5264 0.6293 0.7248
O 0.5955 0.1984 0.2248
O 0.5955 0.8971 0.3707
O 0.6029 0.1984 0.4736
O 0.6029 0.9045 0.1293
O 0.6293 0.4045 0.1029
O 0.6293 0.7248 0.5264
O 0.6984 0.0955 0.7248
O 0.6984 0.1029 0.9736
O 0.7248 0.5264 0.6293
O 0.7248 0.6984 0.0955
O 0.7752 0.4045 0.8016
O 0.7752 0.8707 0.9736
O 0.8016 0.5264 0.3971
O 0.8016 0.7752 0.4045
O 0.8707 0.3971 0.0955
O 0.8707 0.9736 0.7752
O 0.8971 0.0264 0.3016
O 0.8971 0.3707 0.5955
O 0.9045 0.1293 0.6029
O 0.9045 0.2752 0.3016
O 0.9736 0.6984 0.1029
O 0.9736 0.7752 0.8707

Values from the calculation:
* calculated density: 5.98 g/cm3
* space-group type: Ia-3d, No. 230
* ΔE_f (raw): -2.11 eV per atom
* uncorrected energy: -6.952 eV/atom

This record from Alexandria via LeMat-Bulk describes Pm6Ge2O after structural relaxation. The functional is GGA-PBE.

a = 6.5952 Å, b = 6.5952 Å, c = 12.2622 Å
α = 90.00°, β = 90.00°, γ = 90.00°
Positions (direct):
Pm 0.1943 0.1943 0.1457
Pm 0.1943 0.1943 0.8543
Pm 0.2201 0.2201 0.5000
Pm 0.2799 0.7201 0.0000
Pm 0.3057 0.6943 0.3543
Pm 0.3057 0.6943 0.6457
Pm 0.6943 0.3057 0.3543
Pm 0.6943 0.3057 0.6457
Pm 0.7201 0.2799 0.0000
Pm 0.7799 0.7799 0.5000
Pm 0.8057 0.8057 0.1457
Pm 0.8057 0.8057 0.8543
Ge 0.0000 0.0000 0.3293
Ge 0.0000 0.0000 0.6707
Ge 0.5000 0.5000 0.1707
Ge 0.5000 0.5000 0.8293
O 0.0000 0.0000 0.0000
O 0.5000 0.5000 0.5000

Values from the calculation:
* calculated density: 6.42 g/cm3
* space-group type: P4_2/mnm, No. 136
* ΔE_f (raw): -0.82 eV per atom
* uncorrected energy: -5.564 eV/atom